## ErTh3P4 (PBE)

Data for a relaxed ErTh3P4 crystal.

Cell: 7.114 7.102 8.191 Å, 90.00 90.00 109.32°
Positions (direct):
P (0.996, 0.246, 0.629)
P (0.500, 0.243, 0.879)
P (0.496, 0.246, 0.371)
P (0.000, 0.243, 0.121)
P (0.000, 0.757, 0.879)
P (0.504, 0.754, 0.629)
P (0.500, 0.757, 0.121)
P (0.004, 0.754, 0.371)
Th (0.750, 0.000, 0.374)
Th (0.250, 0.000, 0.626)
Th (0.750, 0.500, 0.626)
Th (0.750, 0.500, 0.124)
Th (0.250, 0.500, 0.374)
Th (0.250, 0.500, 0.876)
Er (0.750, 0.000, 0.876)
Er (0.250, 0.000, 0.124)

Output
The calculated formation energy is -1205 kJ/mol of formula units. As for the final energy: -7.62 eV/atom.


## Na2Sn2Au (PBE)

Data for a relaxed Na2Sn2Au crystal.

Cell: 7.191 7.191 4.901 Å, 90.00 90.00 90.00°
Positions (direct):
Na (0.358, 0.858, 0.000)
Na (0.858, 0.642, 0.000)
Na (0.642, 0.142, 0.000)
Na (0.142, 0.358, 0.000)
Au (0.000, 0.000, 0.000)
Au (0.500, 0.500, 0.000)
Sn (0.165, 0.665, 0.500)
Sn (0.665, 0.835, 0.500)
Sn (0.835, 0.335, 0.500)
Sn (0.335, 0.165, 0.500)

Output
The calculated formation energy is 32 kJ/mol of formula units. As for the final energy: -2.72 eV/atom.


## CaY3Ir (PBE)

Data for a relaxed CaY3Ir crystal.

Cell: 9.873 9.873 6.086 Å, 90.00 90.00 144.08°
Positions (direct):
Y (0.129, 0.392, 0.250)
Y (0.608, 0.871, 0.250)
Y (0.392, 0.129, 0.750)
Y (0.871, 0.608, 0.750)
Y (0.000, 0.000, 0.000)
Y (0.000, 0.000, 0.500)
Ca (0.190, 0.810, 0.250)
Ca (0.810, 0.190, 0.750)
Ir (0.489, 0.511, 0.250)
Ir (0.511, 0.489, 0.750)

Output
The calculated formation energy is 222 kJ/mol of formula units. The value obtained for the energy above the most stable polymorph in this dataset is 0.863 eV per atom. As for the final energy: -5.59 eV/atom.


## SbIrPt2 (PBE)

Data for a relaxed SbIrPt2 crystal.

Cell: 3.019 3.972 5.694 Å, 90.00 90.00 90.00°
Positions (direct):
Ir (0.500, 0.500, 0.750)
Pt (0.000, 0.000, 0.987)
Pt (0.000, 0.000, 0.513)
Sb (0.500, 0.500, 0.250)

Output
As for the uncorrected formation energy: 0.126 eV per atom. As for the final energy: -6.14 eV/atom.


## Tc3NiGe (PBE)

Data for a relaxed Tc3NiGe crystal.

Cell: 4.489 4.489 4.489 Å, 90.00 90.00 90.00°
Positions (direct):
Ni (0.500, 0.500, 0.500)
Ge (0.000, 0.000, 0.000)
Tc (0.000, 0.500, 0.000)
Tc (0.000, 0.000, 0.500)
Tc (0.500, 0.000, 0.000)

Output
The calculated formation energy is 762 kJ/mol of formula units. The value obtained for the energy above the most stable polymorph in this dataset is 0.164 eV per atom. As for the final energy: -6.72 eV/atom.


## Na2NdScS4 (PBE)

Data for a relaxed Na2NdScS4 crystal.

Cell: 3.959 6.855 7.058 Å, 108.92 90.00 90.00°
Positions (direct):
Na (0.500, 0.000, 0.500)
Na (0.000, 0.500, 0.500)
Nd (0.500, 0.500, 0.000)
Sc (0.000, 0.000, 0.000)
S (0.500, 0.223, 0.220)
S (0.500, 0.777, 0.780)
S (0.000, 0.237, 0.771)
S (0.000, 0.763, 0.229)

Output
As for the uncorrected formation energy: -1.739 eV per atom. As for the final energy: -5.52 eV/atom.


| no. | M_tot (μB/cell) |
| --- | --- |
| 1 | 0.000 |
| 2 | 0.000 |
| 3 | 0.000 |
| 4 | 0.001 |
| 5 | 0.064 |
| 6 | 0.000 |